DFT (PBE) results for crystalline NaPmPr2 at its relaxed geometry.

Calculated values
Volume in Å³/cell: 139.26
Formation energy in kJ/mol of formula units: 70
Polymorph energy (0 for the lowest one) in meV per atom: 94.2
E_tot in eV/cell: -14.899

Cell: 6.082 6.082 3.765 Å, 90.00 90.00 90.00°
Positions (direct):
Na  0.000  0.000  0.000
Pm  0.500  0.500  0.000
Pr  0.000  0.500  0.500
Pr  0.500  0.000  0.500